Entry from Alexandria via LeMat-Bulk: a geometry-optimized MoSICl2 structure (PBEsol).

a b c (Å): 4.757 4.757 4.689
angles (deg): 90.00 90.00 90.00
Space group P4/mmm (No. 123)
Asymmetric unit:
Mo  0.000  0.000  0.000 x1
S  0.000  0.000  0.500 x1
I  0.500  0.500  0.500 x1
Cl  0.000  0.500  0.000 x2

Values from the calculation:
- ΔE_f (raw) (meV/atom) = -158
- Fermi-level density of states (states/eV per cell) = 3.175